# 1
# La2Tb8Pm3 PBE relaxed
# energy above the lowest structure with this stoichiometry = 0 meV per atom
# energy of formation = 5.17 kcal/mol of atoms
# total moment = 0.0 μB per formula unit
data_La2Tb8Pm3
_space_group_name_H-M_alt 'C 1 2/m 1'
_space_group_IT_number 12
_cell_length_a 14.758
_cell_length_b 9.244
_cell_length_c 7.037
_cell_angle_alpha 90.00
_cell_angle_beta 108.61
_cell_angle_gamma 90.00
loop_
_space_group_symop_operation_xyz
'x,y,z'
'-x,-y,-z'
'-x,y,-z'
'x,-y,z'
'x+1/2,y+1/2,z'
'-x+1/2,-y+1/2,-z'
'-x+1/2,y+1/2,-z'
'x+1/2,-y+1/2,z'
loop_
_atom_site_label
_atom_site_fract_x
_atom_site_fract_y
_atom_site_fract_z
La1 0.223 0.000 0.417
Tb1 0.078 0.500 0.732
Tb2 0.120 0.318 0.170
Tb3 0.191 0.000 0.890
Pm1 0.000 0.000 0.000
Pm2 0.000 0.176 0.500


# 2
# La5Tb2Pm12 PBE relaxed
# energy above the lowest structure with this stoichiometry = 90 meV per atom
# energy of formation = 4.28 kcal/mol of atoms
# total moment = 0.0 μB per formula unit
data_La5Tb2Pm12
_space_group_name_H-M_alt 'C 1 2/m 1'
_space_group_IT_number 12
_cell_length_a 18.316
_cell_length_b 9.343
_cell_length_c 8.935
_cell_angle_alpha 90.00
_cell_angle_beta 117.63
_cell_angle_gamma 90.00
loop_
_space_group_symop_operation_xyz
'x,y,z'
'-x,-y,-z'
'-x,y,-z'
'x,-y,z'
'x+1/2,y+1/2,z'
'-x+1/2,-y+1/2,-z'
'-x+1/2,y+1/2,-z'
'x+1/2,-y+1/2,z'
loop_
_atom_site_label
_atom_site_fract_x
_atom_site_fract_y
_atom_site_fract_z
La1 0.000 0.000 0.000
La2 0.215 0.500 0.729
La3 0.234 0.000 0.804
Tb1 0.000 0.329 0.500
Pm1 0.046 0.000 0.687
Pm2 0.074 0.500 0.235
Pm3 0.120 0.288 0.952
Pm4 0.148 0.181 0.415


# 3
# LaTb2Pm3 PBE relaxed
# energy above the lowest structure with this stoichiometry = 0 meV per atom
# energy of formation = 0.19 kcal/mol of atoms
# total moment = 0.0 μB per formula unit
data_LaTb2Pm3
_space_group_name_H-M_alt 'C m c m'
_space_group_IT_number 63
_space_group_name_Hall '-C 2c 2'
_cell_length_a 3.645
_cell_length_b 18.986
_cell_length_c 11.843
_cell_angle_alpha 90.00
_cell_angle_beta 90.00
_cell_angle_gamma 90.00
loop_
_atom_site_label
_atom_site_fract_x
_atom_site_fract_y
_atom_site_fract_z
La1 0.000 0.220 0.250
Tb1 0.000 0.000 0.000
Tb2 0.000 0.446 0.750
Pm1 0.000 0.108 0.750
Pm2 0.000 0.335 0.002


# 4
# La2TbPm PBE relaxed
# energy above the lowest structure with this stoichiometry = 10 meV per atom
# energy of formation = 0.48 kcal/mol of atoms
# total moment = 0.0 μB per formula unit
data_La2TbPm
_space_group_name_H-M_alt 'R 3 m'
_space_group_IT_number 160
_space_group_name_Hall 'R 3 -2"'
_cell_length_a 3.6848
_cell_length_b 3.6848
_cell_length_c 35.8424
_cell_angle_alpha 90.00
_cell_angle_beta 90.00
_cell_angle_gamma 120.00
loop_
_atom_site_label
_atom_site_fract_x
_atom_site_fract_y
_atom_site_fract_z
La1 0.0000 0.0000 0.0000
La2 0.0000 0.0000 0.1681
Tb1 0.0000 0.0000 0.5850
Pm1 0.0000 0.0000 0.4166


# 5
# LaTb14Pm PBE relaxed
# energy of formation = 0.13 kcal/mol of atoms
# total moment = 0.0 μB per formula unit
data_LaTb14Pm
_space_group_name_H-M_alt 'A m m 2'
_space_group_IT_number 38
_cell_length_a 11.586
_cell_length_b 7.196
_cell_length_c 12.436
_cell_angle_alpha 90.00
_cell_angle_beta 90.00
_cell_angle_gamma 90.00
loop_
_space_group_symop_operation_xyz
'x,y,z'
'-x,-y,z'
'-x,y,z'
'x,-y,z'
'x,y+1/2,z+1/2'
'-x,-y+1/2,z+1/2'
'-x,y+1/2,z+1/2'
'x,-y+1/2,z+1/2'
loop_
_atom_site_label
_atom_site_fract_x
_atom_site_fract_y
_atom_site_fract_z
La1 0.000 0.000 0.000
Tb1 0.000 0.250 0.250
Tb2 0.251 0.000 0.667
Tb3 0.253 0.000 0.167
Tb4 0.254 0.250 0.417
Tb5 0.500 0.000 0.334
Tb6 0.500 0.000 0.833
Tb7 0.500 0.249 0.584
Pm1 0.000 0.000 0.500


# 6
# La6Tb2Pm PBE relaxed
# energy above the lowest structure with this stoichiometry = 0 meV per atom
# energy of formation = 1.32 kcal/mol of atoms
# total moment = 0.0 μB per formula unit
data_La6Tb2Pm
_space_group_name_H-M_alt 'P -6 m 2'
_space_group_IT_number 187
_space_group_name_Hall 'P -6 2'
_cell_length_a 3.6763
_cell_length_b 3.6763
_cell_length_c 27.6909
_cell_angle_alpha 90.00
_cell_angle_beta 90.00
_cell_angle_gamma 120.00
loop_
_atom_site_label
_atom_site_fract_x
_atom_site_fract_y
_atom_site_fract_z
La1 0.0000 0.0000 0.0654
La2 0.0000 0.0000 0.2767
La3 0.3333 0.6667 0.3906
Tb1 0.3333 0.6667 0.1693
Pm1 0.0000 0.0000 0.5000


# 7
# La2Tb4Pm PBE relaxed
# energy above the lowest structure with this stoichiometry = 74 meV per atom
# energy of formation = 7.17 kcal/mol of atoms
# total moment = 0.0 μB per formula unit
data_La2Tb4Pm
_space_group_name_H-M_alt 'P -1'
_space_group_IT_number 2
_cell_length_a 7.833
_cell_length_b 7.875
_cell_length_c 8.189
_cell_angle_alpha 90.07
_cell_angle_beta 90.19
_cell_angle_gamma 90.01
loop_
_space_group_symop_operation_xyz
'x,y,z'
'-x,-y,-z'
loop_
_atom_site_label
_atom_site_fract_x
_atom_site_fract_y
_atom_site_fract_z
La1 0.000 0.000 0.000
La2 0.000 0.000 0.500
La3 0.000 0.500 0.000
La4 0.500 0.000 0.000
Tb1 0.248 0.256 0.718
Tb2 0.248 0.744 0.718
Tb3 0.249 0.255 0.282
Tb4 0.250 0.746 0.282
Pm1 0.500 0.500 0.000
Pm2 0.500 0.500 0.500


# 8
# La3Tb4Pm PBE relaxed
# energy above the lowest structure with this stoichiometry = 94 meV per atom
# energy of formation = 2.96 kcal/mol of atoms
# total moment = 0.0 μB per formula unit
data_La3Tb4Pm
_space_group_name_H-M_alt 'I m m m'
_space_group_IT_number 71
_space_group_name_Hall '-I 2 2'
_cell_length_a 3.509
_cell_length_b 11.872
_cell_length_c 13.262
_cell_angle_alpha 90.00
_cell_angle_beta 90.00
_cell_angle_gamma 90.00
loop_
_atom_site_label
_atom_site_fract_x
_atom_site_fract_y
_atom_site_fract_z
La1 0.000 0.000 0.000
La2 0.000 0.500 0.243
Tb1 0.000 0.247 0.366
Pm1 0.000 0.000 0.500


# 9
# La7Tb2Pm3 PBE relaxed
# energy above the lowest structure with this stoichiometry = 0 meV per atom
# energy of formation = 1.48 kcal/mol of atoms
# total moment = 0.0 μB per formula unit
data_La7Tb2Pm3
_space_group_name_H-M_alt 'P 1 2/m 1'
_space_group_IT_number 10
_cell_length_a 6.594
_cell_length_b 3.603
_cell_length_c 17.992
_cell_angle_alpha 90.00
_cell_angle_beta 95.78
_cell_angle_gamma 90.00
loop_
_space_group_symop_operation_xyz
'x,y,z'
'-x,-y,-z'
'-x,y,-z'
'x,-y,z'
loop_
_atom_site_label
_atom_site_fract_x
_atom_site_fract_y
_atom_site_fract_z
La1 0.000 0.000 0.000
La2 0.222 0.500 0.172
La3 0.260 0.500 0.491
La4 0.273 0.000 0.831
Tb1 0.057 0.500 0.669
Pm1 0.456 0.000 0.337
Pm2 0.500 0.500 0.000


# 10
# La6Tb8Pm PBE relaxed
# energy of formation = 2.61 kcal/mol of atoms
# total moment = 0.0 μB per formula unit
data_La6Tb8Pm
_space_group_name_H-M_alt 'R -3'
_space_group_IT_number 148
_space_group_name_Hall '-R 3'
_cell_length_a 9.1934
_cell_length_b 9.1934
_cell_length_c 21.2386
_cell_angle_alpha 90.00
_cell_angle_beta 90.00
_cell_angle_gamma 120.00
loop_
_atom_site_label
_atom_site_fract_x
_atom_site_fract_y
_atom_site_fract_z
La1 0.0541 0.2468 0.2121
Tb1 0.0000 0.0000 0.0767
Tb2 0.0798 0.5657 0.3064
Pm1 0.0000 0.0000 0.5000